# 1
This record from Alexandria describes crystalline AcLa6Dy2Y at its relaxed geometry. The functional is PBE-GGA.

abc: 10.001 9.122 9.122
angles: 117.62 93.89 93.89
Positions (direct):
La: 0.551 0.752 0.114
La: 0.814 0.447 0.993
Dy: 0.955 0.696 0.797
Ac: 0.250 0.975 0.025
La: 0.449 0.248 0.886
La: 0.314 0.993 0.447
Dy: 0.045 0.304 0.203
Y: 0.750 0.590 0.410
La: 0.051 0.114 0.752
Y: 0.250 0.410 0.590
Dy: 0.455 0.797 0.696
La: 0.186 0.553 0.007
La: 0.378 0.508 0.295
Ac: 0.750 0.025 0.975
Dy: 0.545 0.203 0.304
La: 0.949 0.886 0.248
La: 0.622 0.492 0.705
La: 0.686 0.007 0.553
La: 0.878 0.295 0.508
La: 0.122 0.705 0.492

Values from the calculation:
The calculation puts the calculated formation energy at 0.11 eV per atom. Its calculated density is 6.70 g/cm3. For the total energy, the calculation gives -4.828 eV/atom.

---

# 2
This record from Alexandria describes crystalline AcLa3Dy2Y6 at its relaxed geometry. The functional is PBE-GGA.

abc: 6.318 6.318 11.996
angles: 95.03 95.03 120.01
Positions (direct):
Ac: 0.000 0.000 0.000
Dy: 0.667 0.333 0.000
La: 0.500 0.500 0.500
Y: 0.420 0.083 0.249
Y: 0.917 0.580 0.751
Y: 0.253 0.253 0.751
La: 0.167 0.833 0.500
Y: 0.580 0.917 0.751
La: 0.833 0.167 0.500
Y: 0.747 0.747 0.249
Dy: 0.333 0.667 0.000
Y: 0.083 0.420 0.249

Values from the calculation:
The calculation puts the calculated formation energy at 0.02 eV per atom. Its calculated density is 6.11 g/cm3. For the total energy, the calculation gives -5.552 eV/atom.

---

# 3
This record from Alexandria describes crystalline AcLaDy3Y at its relaxed geometry. The functional is PBE-GGA.

abc: 5.755 10.151 7.604
angles: 91.44 90.00 106.47
Positions (direct):
Dy: 0.524 0.048 0.707
Dy: 0.167 0.334 0.720
Y: 0.346 0.691 0.544
Dy: 0.218 0.437 0.243
La: 0.955 0.911 0.724
Dy: 0.476 0.952 0.293
Ac: 0.642 0.283 0.025
Dy: 0.782 0.563 0.757
Dy: 0.833 0.666 0.280
La: 0.045 0.089 0.276
Y: 0.654 0.309 0.456
Ac: 0.358 0.717 0.975

Values from the calculation:
The calculation puts the calculated formation energy at 0.21 eV per atom. Its calculated density is 7.35 g/cm3. For the total energy, the calculation gives -4.670 eV/atom.

---

# 4
This record from Alexandria describes crystalline AcLa3DyY at its relaxed geometry. The functional is PBE-GGA.

abc: 5.313 8.225 11.138
angles: 115.50 90.00 90.00
Positions (direct):
Y: 0.750 0.378 0.876
Y: 0.250 0.622 0.124
La: 0.750 0.373 0.545
La: 0.250 0.619 0.792
Dy: 0.750 0.871 0.373
Ac: 0.750 0.879 0.706
Dy: 0.250 0.129 0.627
La: 0.750 0.381 0.208
La: 0.250 0.627 0.455
La: 0.750 0.870 0.041
La: 0.250 0.130 0.959
Ac: 0.250 0.121 0.294

Values from the calculation:
The calculation puts the calculated formation energy at 0.04 eV per atom. Its calculated density is 6.77 g/cm3. For the total energy, the calculation gives -4.955 eV/atom.

---

# 5
This record from Alexandria describes crystalline AcLa2DyY5 at its relaxed geometry. The functional is PBE-GGA.

abc: 8.789 8.789 10.167
angles: 115.61 115.61 90.00
Positions (direct):
Y: 0.853 0.921 0.274
La: 0.384 0.884 0.000
Y: 0.421 0.353 0.274
Y: 0.579 0.647 0.726
Y: 0.079 0.579 0.726
La: 0.616 0.116 0.000
Y: 0.647 0.147 0.726
Ac: 0.250 0.750 0.500
Y: 0.000 0.000 0.000
Dy: 0.250 0.250 0.500
Y: 0.921 0.421 0.274
Dy: 0.750 0.750 0.500
La: 0.884 0.616 0.000
Ac: 0.750 0.250 0.500
Y: 0.353 0.853 0.274
Y: 0.147 0.079 0.726
La: 0.116 0.384 0.000
Y: 0.500 0.500 0.000

Values from the calculation:
The calculation puts the calculated formation energy at 0.26 eV per atom. Its calculated density is 5.94 g/cm3. For the total energy, the calculation gives -5.397 eV/atom.

---

# 6
This record from Alexandria describes crystalline AcLa2Dy5Y at its relaxed geometry. The functional is PBE-GGA.

abc: 8.829 8.829 10.111
angles: 115.89 115.89 90.00
Positions (direct):
Dy: 0.924 0.424 0.273
La: 0.617 0.117 0.000
Ac: 0.250 0.250 0.500
Y: 0.750 0.250 0.500
Dy: 0.576 0.651 0.727
La: 0.117 0.383 0.000
Ac: 0.750 0.750 0.500
Dy: 0.424 0.349 0.273
Dy: 0.000 0.000 0.000
La: 0.883 0.617 0.000
Dy: 0.151 0.076 0.727
Dy: 0.500 0.500 0.000
Dy: 0.076 0.576 0.727
La: 0.383 0.883 0.000
Dy: 0.651 0.151 0.727
Y: 0.250 0.750 0.500
Dy: 0.849 0.924 0.273
Dy: 0.349 0.849 0.273

Values from the calculation:
The calculation puts the calculated formation energy at 0.25 eV per atom. Its calculated density is 7.53 g/cm3. For the total energy, the calculation gives -4.578 eV/atom.

---

Repeat the third record exactly.
This record from Alexandria describes crystalline AcLaDy3Y at its relaxed geometry. The functional is PBE-GGA.

abc: 5.755 10.151 7.604
angles: 91.44 90.00 106.47
Positions (direct):
Dy: 0.524 0.048 0.707
Dy: 0.167 0.334 0.720
Y: 0.346 0.691 0.544
Dy: 0.218 0.437 0.243
La: 0.955 0.911 0.724
Dy: 0.476 0.952 0.293
Ac: 0.642 0.283 0.025
Dy: 0.782 0.563 0.757
Dy: 0.833 0.666 0.280
La: 0.045 0.089 0.276
Y: 0.654 0.309 0.456
Ac: 0.358 0.717 0.975

Values from the calculation:
The calculation puts the calculated formation energy at 0.21 eV per atom. Its calculated density is 7.35 g/cm3. For the total energy, the calculation gives -4.670 eV/atom.

---

- What is the formula in the second record?
  AcLa3Dy2Y6

---

What did the second record say?
This record from Alexandria describes crystalline AcLa3Dy2Y6 at its relaxed geometry. The functional is PBE-GGA.

abc: 6.318 6.318 11.996
angles: 95.03 95.03 120.01
Positions (direct):
Ac: 0.000 0.000 0.000
Dy: 0.667 0.333 0.000
La: 0.500 0.500 0.500
Y: 0.420 0.083 0.249
Y: 0.917 0.580 0.751
Y: 0.253 0.253 0.751
La: 0.167 0.833 0.500
Y: 0.580 0.917 0.751
La: 0.833 0.167 0.500
Y: 0.747 0.747 0.249
Dy: 0.333 0.667 0.000
Y: 0.083 0.420 0.249

Values from the calculation:
The calculation puts the calculated formation energy at 0.02 eV per atom. Its calculated density is 6.11 g/cm3. For the total energy, the calculation gives -5.552 eV/atom.